5
Lattice="-2.192 2.192 5.476 2.192 -2.192 5.476 2.192 2.192 -5.476" Properties=species:S:1:pos:R:3 comment="LaAl3Au, optimized geometry, DFT GGA-PBE" dft_energy_ev_per_atom=-4.547 e_above_lowest_polymorph_ev_per_atom=0.000 pbc="T T T"
La 0.000 0.000 0.000
Al 2.192 0.000 2.612
Al 0.000 0.000 6.479
Al 0.000 2.192 2.612
Au 0.000 0.000 3.963


12
Lattice="7.722 0.000 0.000 0.000 4.686 0.000 0.000 0.000 7.747" Properties=species:S:1:pos:R:3 comment="LaAlAu, optimized geometry, DFT GGA-PBE" dft_energy_ev_per_atom=-4.725 pbc="T T T"
La 0.101 1.171 1.484
La 3.760 3.514 5.358
La 3.962 1.171 2.389
La 7.620 3.514 6.263
Al 1.336 1.171 4.518
Al 2.525 3.514 0.645
Al 5.196 1.171 7.102
Al 6.386 3.514 3.228
Au 1.497 3.514 3.165
Au 2.364 1.171 7.039
Au 5.358 3.514 0.708
Au 6.225 1.171 4.582


5
Lattice="4.942 0.000 0.000 0.000 4.942 0.000 0.000 0.000 4.942" Properties=species:S:1:pos:R:3 comment="LaAl3Au, optimized geometry, DFT GGA-PBE" dft_energy_ev_per_atom=-3.959 e_above_lowest_polymorph_ev_per_atom=0.587 pbc="T T T"
La 0.000 0.000 0.000
Al 0.000 2.471 2.471
Al 2.471 0.000 2.471
Al 2.471 2.471 0.000
Au 2.471 2.471 2.471


3
Lattice="-1.734 1.734 5.733 1.734 -1.734 5.733 1.734 1.734 -5.733" Properties=species:S:1:pos:R:3 comment="LaAlAu, optimized geometry, DFT GGA-PBE" dft_energy_ev_per_atom=-4.503 pbc="T T T"
La 0.000 0.000 0.000
Al 0.000 0.000 3.452
Au 0.000 0.000 7.979


8
Lattice="4.298 0.000 0.000 0.000 4.298 0.000 0.000 0.000 8.771" Properties=species:S:1:pos:R:3 comment="LaAl4Au3, optimized geometry, DFT GGA-PBE" dft_energy_ev_per_atom=-4.357 pbc="T T T"
La 0.000 0.000 0.000
Al 0.000 2.149 2.870
Al 0.000 2.149 5.901
Al 2.149 0.000 2.870
Al 2.149 0.000 5.901
Au 0.000 0.000 4.386
Au 2.149 2.149 1.398
Au 2.149 2.149 7.373


4
Lattice="0.000 3.514 3.514 3.514 0.000 3.514 3.514 3.514 0.000" Properties=species:S:1:pos:R:3 comment="LaAlAu2, optimized geometry, DFT GGA-PBE" dft_energy_ev_per_atom=-4.277 pbc="T T T"
La 0.000 0.000 0.000
Al 1.757 1.757 1.757
Au 3.514 3.514 3.514
Au 5.271 5.271 5.271


20
Lattice="-5.397 6.278 3.178 5.397 -6.278 3.178 5.397 6.278 -3.178" Properties=species:S:1:pos:R:3 comment="La2Al3Au5, optimized geometry, DFT GGA-PBE" dft_energy_ev_per_atom=-4.465 e_above_lowest_polymorph_ev_per_atom=0.000 pbc="T T T"
La 2.523 1.664 0.000
La 2.523 -1.664 3.178
La 2.874 7.942 0.000
La 2.874 4.614 3.178
Al 4.182 -4.627 3.178
Al 5.397 0.000 1.589
Al 4.182 4.627 0.000
Al 1.215 1.650 3.178
Al 0.000 6.278 1.589
Al 1.215 10.905 0.000
Au 5.397 -2.965 1.589
Au 7.087 1.265 0.000
Au 0.000 0.000 1.589
Au 1.690 5.013 0.000
Au 5.397 2.965 1.589
Au 0.000 3.313 1.589
Au 3.707 1.265 3.178
Au 0.000 0.000 4.767
Au -1.690 5.013 3.178
Au 0.000 9.242 1.589


4
Lattice="2.219 1.281 5.415 -2.219 1.281 5.415 0.000 -2.563 5.415" Properties=species:S:1:pos:R:3 comment="LaAl2Au, optimized geometry, DFT GGA-PBE" dft_energy_ev_per_atom=-4.481 pbc="T T T"
La 0.000 0.000 0.000
Al 0.000 0.000 3.430
Al 0.000 0.000 7.818
Au 0.000 0.000 12.935


Formation energy from the elements
In order: -0.66 -0.74 -0.07 -0.52 -0.64 -0.47 -0.72 -0.56
Unit: eV/atom